[1]
{
  "formula": "LaPa3P4",
  "functional": "PBE",
  "state": "optimized geometry",
  "lattice": [[8.0743, 0.0000, 0.0000], [0.0000, 11.4081, 0.0000], [0.0000, 0.0000, 4.0271]],
  "species": ["La", "La", "Pa", "Pa", "Pa", "Pa", "Pa", "Pa", "P", "P", "P", "P", "P", "P", "P", "P"],
  "frac_coords": [[0.0000, 0.0000, 0.0000], [0.5000, 0.5000, 0.0000], [0.0000, 0.5000, 0.0000], [0.2500, 0.2500, 0.5000], [0.2500, 0.7500, 0.5000], [0.5000, 0.0000, 0.0000], [0.7500, 0.2500, 0.5000], [0.7500, 0.7500, 0.5000], [0.0000, 0.2555, 0.0000], [0.0000, 0.7445, 0.0000], [0.2372, 0.5000, 0.5000], [0.2628, 0.0000, 0.5000], [0.5000, 0.2445, 0.0000], [0.5000, 0.7555, 0.0000], [0.7372, 0.0000, 0.5000], [0.7628, 0.5000, 0.5000]],
  "crystal_system": "orthorhombic",
  "energy_ev_per_atom": -8.24,
  "space_group": "No. 65",
  "delta_e_f_ev_per_atom": -1.356,
  "total_magnetization_mub_per_fu": 0.0
}

[2]
{
  "formula": "ZrAg2Hg",
  "functional": "PBE",
  "state": "optimized geometry",
  "lattice": [[5.3209, 0.0000, 0.0000], [0.0000, 3.0819, 0.0000], [-1.8060, 0.0000, 10.0226]],
  "species": ["Zr", "Zr", "Ag", "Ag", "Ag", "Ag", "Hg", "Hg"],
  "frac_coords": [[0.0000, 0.0000, 0.0000], [0.5000, 0.5000, 0.0000], [0.0822, 0.5000, 0.7530], [0.2487, 0.5000, 0.2475], [0.5822, 0.0000, 0.7530], [0.7487, 0.0000, 0.2475], [0.1657, 0.0000, 0.5007], [0.6657, 0.5000, 0.5007]],
  "crystal_system": "monoclinic",
  "energy_ev_per_atom": -3.59,
  "space_group": "No. 8",
  "delta_e_f_ev_per_atom": 0.047,
  "total_magnetization_mub_per_fu": 0.0
}

[3]
{
  "formula": "Nd6Dy3YTm2",
  "functional": "PBE",
  "state": "optimized geometry",
  "lattice": [[3.1326, -5.4254, 0.0000], [3.1326, 5.4254, 0.0000], [-2.0822, 0.0000, 11.6407]],
  "species": ["Nd", "Nd", "Nd", "Nd", "Nd", "Nd", "Dy", "Dy", "Dy", "Y", "Tm", "Tm"],
  "frac_coords": [[0.0820, 0.4166, 0.7506], [0.2490, 0.2490, 0.2493], [0.4166, 0.0820, 0.7506], [0.5834, 0.9180, 0.2494], [0.7510, 0.7510, 0.7507], [0.9180, 0.5834, 0.2494], [0.0000, 0.0000, 0.5000], [0.3333, 0.6667, 0.5000], [0.6667, 0.3333, 0.5000], [0.5000, 0.5000, 0.0000], [0.1667, 0.8333, 0.0000], [0.8333, 0.1667, 0.0000]],
  "crystal_system": "monoclinic",
  "energy_ev_per_atom": -4.81,
  "space_group": "No. 12",
  "delta_e_f_ev_per_atom": 0.012,
  "total_magnetization_mub_per_fu": 0.0
}

[4]
{
  "formula": "Sr3CdHg2",
  "functional": "PBE",
  "state": "optimized geometry",
  "lattice": [[5.7114, 0.0000, 0.0000], [0.0000, 17.1027, 0.0000], [0.0000, 0.0000, 3.9936]],
  "species": ["Sr", "Sr", "Sr", "Sr", "Sr", "Sr", "Cd", "Cd", "Hg", "Hg", "Hg", "Hg"],
  "frac_coords": [[0.0000, 0.0000, 0.0000], [0.0000, 0.3308, 0.0000], [0.0000, 0.6692, 0.0000], [0.5000, 0.1692, 0.0000], [0.5000, 0.5000, 0.0000], [0.5000, 0.8308, 0.0000], [0.0000, 0.5000, 0.5000], [0.5000, 0.0000, 0.5000], [0.0000, 0.1634, 0.5000], [0.0000, 0.8366, 0.5000], [0.5000, 0.3366, 0.5000], [0.5000, 0.6634, 0.5000]],
  "crystal_system": "orthorhombic",
  "energy_ev_per_atom": -1.56,
  "space_group": "No. 65",
  "delta_e_f_ev_per_atom": -0.468,
  "total_magnetization_mub_per_fu": 0.0,
  "de_polymorph_mev_per_atom": 0
}

[5]
{
  "formula": "CeSc2Ru",
  "functional": "PBE",
  "state": "optimized geometry",
  "lattice": [[3.2372, 0.0000, 0.0000], [0.0000, 3.2372, 0.0000], [0.0000, 0.0000, 8.4924]],
  "species": ["Ce", "Sc", "Sc", "Ru"],
  "frac_coords": [[0.0000, 0.0000, 0.0000], [0.5000, 0.5000, 0.3197], [0.5000, 0.5000, 0.6803], [0.0000, 0.0000, 0.5000]],
  "crystal_system": "tetragonal",
  "energy_ev_per_atom": -7.27,
  "space_group": "No. 123",
  "delta_e_f_ev_per_atom": -0.306,
  "total_magnetization_mub_per_fu": 1.1,
  "de_polymorph_mev_per_atom": 25
}

[6]
{
  "formula": "NaAcIn4",
  "functional": "PBE",
  "state": "optimized geometry",
  "lattice": [[4.9862, 0.0000, 0.0000], [0.0000, 7.7911, 0.0000], [0.0000, 0.0000, 9.0230]],
  "species": ["Na", "Na", "Ac", "Ac", "In", "In", "In", "In", "In", "In", "In", "In"],
  "frac_coords": [[0.0000, 0.0000, 0.0000], [0.5000, 0.5000, 0.5000], [0.0000, 0.5000, 0.0000], [0.5000, 0.0000, 0.5000], [0.0000, 0.2946, 0.3350], [0.0000, 0.2946, 0.6650], [0.0000, 0.7054, 0.3350], [0.0000, 0.7054, 0.6650], [0.5000, 0.2054, 0.1650], [0.5000, 0.2054, 0.8350], [0.5000, 0.7946, 0.1650], [0.5000, 0.7946, 0.8350]],
  "crystal_system": "orthorhombic",
  "energy_ev_per_atom": -3.03,
  "space_group": "No. 71",
  "delta_e_f_ev_per_atom": -0.300,
  "total_magnetization_mub_per_fu": 0.0,
  "de_polymorph_mev_per_atom": 0
}

[7]
{
  "formula": "SbMoPb2",
  "functional": "PBE",
  "state": "optimized geometry",
  "lattice": [[6.6224, 0.0000, 0.0000], [0.0000, 9.1402, 0.0000], [0.0000, 0.0000, 3.3345]],
  "species": ["Sb", "Sb", "Mo", "Mo", "Pb", "Pb", "Pb", "Pb"],
  "frac_coords": [[0.0000, 0.0000, 0.0000], [0.5000, 0.5000, 0.0000], [0.0000, 0.5000, 0.0000], [0.5000, 0.0000, 0.0000], [0.2500, 0.2500, 0.5000], [0.2500, 0.7500, 0.5000], [0.7500, 0.2500, 0.5000], [0.7500, 0.7500, 0.5000]],
  "crystal_system": "orthorhombic",
  "energy_ev_per_atom": -4.87,
  "space_group": "No. 65",
  "formation_energy_uncorrected_ev_per_atom": 0.719,
  "total_magnetization_mub_per_fu": 2.2
}

[8]
{
  "formula": "MgCr2Fe2",
  "functional": "PBE",
  "state": "optimized geometry",
  "lattice": [[6.9249, 0.0000, 0.0000], [0.0000, 6.9249, 0.0000], [0.0000, 0.0000, 2.6001]],
  "species": ["Mg", "Mg", "Cr", "Cr", "Cr", "Cr", "Fe", "Fe", "Fe", "Fe"],
  "frac_coords": [[0.0000, 0.0000, 0.0000], [0.5000, 0.5000, 0.0000], [0.1581, 0.3419, 0.5000], [0.3419, 0.8419, 0.5000], [0.6581, 0.1581, 0.5000], [0.8419, 0.6581, 0.5000], [0.1311, 0.6311, 0.0000], [0.3689, 0.1311, 0.0000], [0.6311, 0.8689, 0.0000], [0.8689, 0.3689, 0.0000]],
  "crystal_system": "tetragonal",
  "energy_ev_per_atom": -7.31,
  "space_group": "No. 127",
  "delta_e_f_ev_per_atom": 0.240,
  "total_magnetization_mub_per_fu": 0.0,
  "de_polymorph_mev_per_atom": 0
}

[9]
{
  "formula": "TaSbP2O",
  "functional": "PBE",
  "state": "optimized geometry",
  "lattice": [[4.9744, 0.0000, 0.0000], [0.0000, 4.9744, 0.0000], [0.0000, 0.0000, 3.8245]],
  "species": ["Ta", "Sb", "P", "P", "O"],
  "frac_coords": [[0.0000, 0.0000, 0.0000], [0.5000, 0.5000, 0.5000], [0.0000, 0.5000, 0.5000], [0.5000, 0.0000, 0.5000], [0.5000, 0.5000, 0.0000]],
  "crystal_system": "tetragonal",
  "energy_ev_per_atom": -5.68,
  "space_group": "No. 123",
  "formation_energy_uncorrected_ev_per_atom": 0.674,
  "total_magnetization_mub_per_fu": 1.4,
  "de_polymorph_mev_per_atom": 1200
}

[10]
{
  "formula": "TbDy5ErTm2",
  "functional": "PBE",
  "state": "optimized geometry",
  "lattice": [[2.7708, -9.8714, 0.0000], [2.7708, 9.8714, 0.0000], [0.0000, 0.0000, 10.4841]],
  "species": ["Tb", "Tb", "Dy", "Dy", "Dy", "Dy", "Dy", "Dy", "Dy", "Dy", "Dy", "Dy", "Er", "Er", "Tm", "Tm", "Tm", "Tm"],
  "frac_coords": [[0.1996, 0.8004, 0.5000], [0.8004, 0.1996, 0.0000], [0.0176, 0.9824, 0.5123], [0.2812, 0.7188, 0.7975], [0.3001, 0.6999, 0.1962], [0.3904, 0.6096, 0.5122], [0.4793, 0.5207, 0.2278], [0.5207, 0.4793, 0.7278], [0.6096, 0.3904, 0.0122], [0.6999, 0.3001, 0.6962], [0.7188, 0.2812, 0.2975], [0.9824, 0.0176, 0.0123], [0.4127, 0.5873, 0.9449], [0.5873, 0.4127, 0.4449], [0.1097, 0.8903, 0.2270], [0.1136, 0.8864, 0.8059], [0.8864, 0.1136, 0.3059], [0.8903, 0.1097, 0.7270]],
  "crystal_system": "orthorhombic",
  "energy_ev_per_atom": -4.41,
  "space_group": "No. 36",
  "delta_e_f_ev_per_atom": 0.158,
  "total_magnetization_mub_per_fu": 0.0
}

[11]
{
  "formula": "Mg2TlCl",
  "functional": "PBE",
  "state": "optimized geometry",
  "lattice": [[3.3441, 0.0000, 0.0000], [0.0000, 5.7216, 0.0000], [0.0000, 0.0000, 10.6401]],
  "species": ["Mg", "Mg", "Mg", "Mg", "Tl", "Tl", "Cl", "Cl"],
  "frac_coords": [[0.0000, 0.0000, 0.0000], [0.0000, 0.5000, 0.2483], [0.5000, 0.0000, 0.7483], [0.5000, 0.5000, 0.5000], [0.0000, 0.5000, 0.7727], [0.5000, 0.0000, 0.2727], [0.0000, 0.0000, 0.5727], [0.5000, 0.5000, 0.0727]],
  "crystal_system": "orthorhombic",
  "energy_ev_per_atom": -2.25,
  "space_group": "No. 44",
  "formation_energy_uncorrected_ev_per_atom": -0.398,
  "total_magnetization_mub_per_fu": 0.0,
  "de_polymorph_mev_per_atom": 113
}